PBE-GGA ThSi7Ru3, optimized geometry; total moment = 0.00 μB/atom; raw total energy = -79.64 eV/f.u.; space-group type = R-3c, No. 167; formation energy from raw total energies = -0.585 eV per atom
1.0
-4.047 0.031 -6.533
-2.107 -6.640 -3.246
-7.774 -2.120 0.285
Si Ru Th
14 6 2
Direct
0.250 0.250 0.250
0.854 0.669 0.418
0.169 0.354 0.918
0.354 0.559 0.918
0.669 0.059 0.418
0.559 0.169 0.918
0.146 0.331 0.582
0.646 0.441 0.082
0.331 0.941 0.582
0.059 0.854 0.418
0.441 0.831 0.082
0.941 0.146 0.582
0.750 0.750 0.750
0.831 0.646 0.082
0.750 0.422 0.750
0.578 0.922 0.250
0.078 0.750 0.750
0.250 0.578 0.250
0.422 0.078 0.750
0.922 0.250 0.250
0.500 0.500 0.500
0.000 0.000 0.000